Entry 1:
Rb3CoBr6 | PBE | optimized geometry

Cell and atoms, written as POSCAR:
```
Rb3CoBr6
1.0
7.0924 -9.1269 0.0000
7.0924 9.1269 0.0000
0.0000 0.0000 6.7577
Rb Co Br
6 2 12
Direct
0.1078 0.8922 0.5000
0.1982 0.4268 0.5282
0.4268 0.1982 0.0282
0.5732 0.8018 0.5282
0.8018 0.5732 0.0282
0.8922 0.1078 0.0000
0.2970 0.7030 0.0868
0.7030 0.2970 0.5868
0.1010 0.6242 0.2121
0.1608 0.1684 0.2656
0.1684 0.1608 0.7656
0.2868 0.7132 0.7373
0.3758 0.8990 0.2121
0.4224 0.5776 0.1828
0.5776 0.4224 0.6828
0.6242 0.1010 0.7121
0.7132 0.2868 0.2373
0.8316 0.8392 0.2656
0.8392 0.8316 0.7656
0.8990 0.3758 0.7121
```

Magnetic moment = 7.17 Bohr magnetons per cell
Uncorrected formation energy = -1.139 eV per atom
SG = Cmc2_1, No. 36
Energy above the most stable polymorph in this dataset = 0 meV per atom

Entry 2:
Sr2CrI | PBE | optimized geometry

Cell and atoms, written as POSCAR:
```
Sr2CrI
1.0
0.0000 4.1895 4.1895
4.1895 0.0000 4.1895
4.1895 4.1895 0.0000
Sr Cr I
2 1 1
Direct
0.2500 0.2500 0.2500
0.7500 0.7500 0.7500
0.0000 0.0000 0.0000
0.5000 0.5000 0.5000
```

Magnetic moment = 4.93 Bohr magnetons per cell
Uncorrected formation energy = 0.046 eV per atom
SG = Fm-3m, No. 225
Energy above the most stable polymorph in this dataset = 0 meV per atom

Entry 3:
NiHIr3 | PBE | optimized geometry

Cell and atoms, written as POSCAR:
```
NiHIr3
1.0
3.8837 0.0000 0.0000
0.0000 3.8837 0.0000
0.0000 0.0000 3.8837
Ni H Ir
1 1 3
Direct
0.0000 0.0000 0.0000
0.5000 0.5000 0.5000
0.0000 0.5000 0.5000
0.5000 0.0000 0.5000
0.5000 0.5000 0.0000
```

Magnetic moment = 1.70 Bohr magnetons per cell
SG = Pm-3m, No. 221
Energy above the most stable polymorph in this dataset = 0 meV per atom

Entry 4:
Tb2RhO | PBE | optimized geometry

Cell and atoms, written as POSCAR:
```
Tb2RhO
1.0
1.7653 1.0192 6.8633
-1.7653 1.0192 6.8633
0.0000 -2.0384 6.8633
Tb Rh O
2 1 1
Direct
0.2388 0.2388 0.2388
0.7612 0.7612 0.7612
0.0000 0.0000 0.0000
0.5000 0.5000 0.5000
```

Magnetic moment = 0.00 Bohr magnetons per cell
Uncorrected formation energy = -1.645 eV per atom
SG = R-3m, No. 166
Energy above the most stable polymorph in this dataset = 0 meV per atom

Entry 5:
Np4TeSe5 | PBE | optimized geometry

Cell and atoms, written as POSCAR:
```
Np4TeSe5
1.0
9.0544 -2.0846 0.0000
9.0544 2.0846 0.0000
-2.4880 0.0000 8.2135
Np Te Se
4 1 5
Direct
0.0034 0.0034 0.2722
0.3207 0.3207 0.8852
0.6793 0.6793 0.1148
0.9966 0.9966 0.7278
0.5000 0.5000 0.0000
0.1616 0.1616 0.8694
0.1647 0.1647 0.3270
0.5000 0.5000 0.5000
0.8353 0.8353 0.6730
0.8384 0.8384 0.1306
```

Magnetic moment = 15.98 Bohr magnetons per cell
Uncorrected formation energy = -1.010 eV per atom
SG = C2/m, No. 12

Entry 6:
K2CaCu2Cl6 | PBE | optimized geometry

Cell and atoms, written as POSCAR:
```
K2CaCu2Cl6
1.0
6.3263 -3.6855 0.0000
6.3263 3.6855 0.0000
-3.8835 0.0000 6.5220
K Ca Cu Cl
2 1 2 6
Direct
0.2290 0.2290 0.1956
0.7710 0.7710 0.8044
0.0000 0.0000 0.5000
0.4511 0.4511 0.7880
0.5489 0.5489 0.2120
0.1899 0.6927 0.1933
0.2452 0.2452 0.6247
0.3073 0.8101 0.8067
0.6927 0.1899 0.1933
0.7548 0.7548 0.3753
0.8101 0.3073 0.8067
```

Magnetic moment = 0.18 Bohr magnetons per cell
Uncorrected formation energy = -1.508 eV per atom
SG = C2/m, No. 12

Entry 7:
Sc2TaHg | PBE | optimized geometry

Cell and atoms, written as POSCAR:
```
Sc2TaHg
1.0
3.1513 0.0000 0.0000
0.0000 3.1513 0.0000
0.0000 0.0000 8.4483
Sc Ta Hg
2 1 1
Direct
0.0000 0.0000 0.2447
0.0000 0.0000 0.7553
0.5000 0.5000 0.0000
0.5000 0.5000 0.5000
```

Magnetic moment = 0.00 Bohr magnetons per cell
SG = P4/mmm, No. 123
Formation enthalpy at 0 K = -113 meV per atom

Entry 8:
CaTe2As | PBE | optimized geometry

Cell and atoms, written as POSCAR:
```
CaTe2As
1.0
2.1125 1.2197 9.2996
-2.1125 1.2197 9.2996
0.0000 -2.4393 9.2996
Ca Te As
1 2 1
Direct
0.0000 0.0000 0.0000
0.1097 0.1097 0.1097
0.8903 0.8903 0.8903
0.5000 0.5000 0.5000
```

Magnetic moment = 0.00 Bohr magnetons per cell
Uncorrected formation energy = -0.174 eV per atom
SG = R-3m, No. 166

Entry 9:
SmSiAg | PBE | optimized geometry

Cell and atoms, written as POSCAR:
```
SmSiAg
1.0
4.0478 0.0000 0.0000
0.0000 4.1001 0.0000
0.0000 0.0000 8.0901
Sm Si Ag
2 2 2
Direct
0.2500 0.0000 0.2079
0.7500 0.0000 0.7921
0.2500 0.5000 0.9221
0.7500 0.5000 0.0779
0.2500 0.5000 0.6086
0.7500 0.5000 0.3914
```

Magnetic moment = 0.00 Bohr magnetons per cell
Uncorrected formation energy = -0.473 eV per atom
SG = Pmma, No. 51

Entry 10:
PuTlIn2 | PBE | optimized geometry

Cell and atoms, written as POSCAR:
```
PuTlIn2
1.0
3.2907 0.0000 0.0000
0.0000 3.2907 0.0000
0.0000 0.0000 10.0165
Pu Tl In
1 1 2
Direct
0.0000 0.0000 0.0000
0.0000 0.0000 0.5000
0.5000 0.5000 0.2393
0.5000 0.5000 0.7607
```

Magnetic moment = 6.06 Bohr magnetons per cell
SG = P4/mmm, No. 123
Formation enthalpy at 0 K = -43 meV per atom
Energy above the most stable polymorph in this dataset = 105 meV per atom

Entry 11:
Pa3Ga3Co2 | PBE | optimized geometry

Cell and atoms, written as POSCAR:
```
Pa3Ga3Co2
1.0
8.0060 0.0000 0.0000
0.0000 14.4933 0.0000
0.0000 0.0000 5.1831
Pa Ga Co
12 12 8
Direct
0.0347 0.1158 0.1073
0.0347 0.3842 0.1073
0.1717 0.2500 0.6002
0.3283 0.7500 0.1002
0.4653 0.6158 0.6073
0.4653 0.8842 0.6073
0.5347 0.1158 0.3927
0.5347 0.3842 0.3927
0.6717 0.2500 0.8998
0.8283 0.7500 0.3998
0.9653 0.6158 0.8927
0.9653 0.8842 0.8927
0.1725 0.7500 0.5969
0.1882 0.0315 0.5977
0.1882 0.4685 0.5977
0.3118 0.5315 0.0977
0.3118 0.9685 0.0977
0.3275 0.2500 0.0969
0.6725 0.7500 0.9031
0.6882 0.0315 0.9023
0.6882 0.4685 0.9023
0.8118 0.5315 0.4023
0.8118 0.9685 0.4023
0.8275 0.2500 0.4031
0.0846 0.6116 0.3361
0.0846 0.8884 0.3361
0.4154 0.1116 0.8361
0.4154 0.3884 0.8361
0.5846 0.6116 0.1639
0.5846 0.8884 0.1639
0.9154 0.1116 0.6639
0.9154 0.3884 0.6639
```

Magnetic moment = 0.00 Bohr magnetons per cell
SG = Pnma, No. 62
Formation enthalpy at 0 K = -367 meV per atom

Entry 12:
Ni5PPb3 | PBE | optimized geometry

Cell and atoms, written as POSCAR:
```
Ni5PPb3
1.0
7.4526 0.0000 0.0000
-3.7263 6.4542 0.0000
0.0000 0.0000 6.4706
Ni P Pb
10 2 6
Direct
0.0000 0.2046 0.2500
0.0000 0.7954 0.7500
0.2046 0.0000 0.2500
0.2046 0.2046 0.7500
0.3333 0.6667 0.0000
0.3333 0.6667 0.5000
0.6667 0.3333 0.0000
0.6667 0.3333 0.5000
0.7954 0.0000 0.7500
0.7954 0.7954 0.2500
0.0000 0.0000 0.0000
0.0000 0.0000 0.5000
0.0000 0.4253 0.7500
0.0000 0.5747 0.2500
0.4253 0.0000 0.7500
0.4253 0.4253 0.2500
0.5747 0.0000 0.2500
0.5747 0.5747 0.7500
```

Magnetic moment = 0.00 Bohr magnetons per cell
SG = P6_3/mcm, No. 193
Formation enthalpy at 0 K = 182 meV per atom

Copy entry 8 word for word.
CaTe2As | PBE | optimized geometry

Cell and atoms, written as POSCAR:
```
CaTe2As
1.0
2.1125 1.2197 9.2996
-2.1125 1.2197 9.2996
0.0000 -2.4393 9.2996
Ca Te As
1 2 1
Direct
0.0000 0.0000 0.0000
0.1097 0.1097 0.1097
0.8903 0.8903 0.8903
0.5000 0.5000 0.5000
```

Magnetic moment = 0.00 Bohr magnetons per cell
Uncorrected formation energy = -0.174 eV per atom
SG = R-3m, No. 166

What did the ninth record say?
SmSiAg | PBE | optimized geometry

Cell and atoms, written as POSCAR:
```
SmSiAg
1.0
4.0478 0.0000 0.0000
0.0000 4.1001 0.0000
0.0000 0.0000 8.0901
Sm Si Ag
2 2 2
Direct
0.2500 0.0000 0.2079
0.7500 0.0000 0.7921
0.2500 0.5000 0.9221
0.7500 0.5000 0.0779
0.2500 0.5000 0.6086
0.7500 0.5000 0.3914
```

Magnetic moment = 0.00 Bohr magnetons per cell
Uncorrected formation energy = -0.473 eV per atom
SG = Pmma, No. 51